No. 1
Compound: BaNaMoIr
Source: OQMD via LeMat-Bulk
Functional: GGA-PBE
Structure: optimized geometry

- ΔE to the lowest computed polymorph (meV per atom) = 332

CIF file:
```
data_BaNaMoIr
_chemical_formula_sum 'Ba1 Na1 Mo1 Ir1'
_cell_length_a 5.1142
_cell_length_b 5.1142
_cell_length_c 5.1142
_cell_angle_alpha 60.00
_cell_angle_beta 60.00
_cell_angle_gamma 60.00
_symmetry_space_group_name_H-M 'P 1'
_symmetry_Int_Tables_number 1
_symmetry_space_group_name_Hall 'P 1'
loop_
_atom_site_label
_atom_site_fract_x
_atom_site_fract_y
_atom_site_fract_z
Ba1 0.2500 0.2500 0.2500
Ir1 0.5000 0.5000 0.5000
Mo1 0.0000 0.0000 0.0000
Na1 0.7500 0.7500 0.7500
```

---

No. 2
Compound: Y2Ga4CoIr
Source: OQMD via LeMat-Bulk
Functional: GGA-PBE
Structure: optimized geometry

- energy (eV/atom) = -5.764

CIF file:
```
data_Y2Ga4CoIr
_chemical_formula_sum 'Y2 Ga4 Co1 Ir1'
_cell_length_a 6.7447
_cell_length_b 5.4702
_cell_length_c 5.4702
_cell_angle_alpha 45.19
_cell_angle_beta 90.00
_cell_angle_gamma 90.00
_symmetry_space_group_name_H-M 'P 1'
_symmetry_Int_Tables_number 1
_symmetry_space_group_name_Hall 'P 1'
loop_
_atom_site_label
_atom_site_fract_x
_atom_site_fract_y
_atom_site_fract_z
Co1 0.0000 0.2917 0.2917
Ga1 0.2962 0.1408 0.1408
Ga2 0.7038 0.1408 0.1408
Ga3 0.1881 0.8608 0.8608
Ga4 0.8119 0.8608 0.8608
Ir1 0.5000 0.7078 0.7078
Y1 0.5000 0.4220 0.4220
Y2 0.0000 0.5752 0.5752
```

---

No. 3
Compound: GdEr2In3Fe2Cu
Source: OQMD via LeMat-Bulk
Functional: GGA-PBE
Structure: optimized geometry

- energy (eV/atom) = -4.919

CIF file:
```
data_GdEr2In3Fe2Cu
_chemical_formula_sum 'Gd1 Er2 In3 Fe2 Cu1'
_cell_length_a 3.9121
_cell_length_b 7.4339
_cell_length_c 7.4339
_cell_angle_alpha 120.15
_cell_angle_beta 90.00
_cell_angle_gamma 90.00
_symmetry_space_group_name_H-M 'P 1'
_symmetry_Int_Tables_number 1
_symmetry_space_group_name_Hall 'P 1'
loop_
_atom_site_label
_atom_site_fract_x
_atom_site_fract_y
_atom_site_fract_z
Cu1 0.0000 0.9988 0.9988
Er1 0.0000 0.5902 0.0001
Er2 0.0000 0.0001 0.5902
Fe1 0.5000 0.6677 0.3318
Fe2 0.5000 0.3318 0.6677
Gd1 0.0000 0.4116 0.4116
In1 0.5000 0.9984 0.2582
In2 0.5000 0.7430 0.7430
In3 0.5000 0.2582 0.9984
```

---

No. 4
Compound: ThGaW
Source: OQMD via LeMat-Bulk
Functional: GGA-PBE
Structure: optimized geometry

- ΔE to the lowest computed polymorph (meV per atom) = 0

CIF file:
```
data_ThGaW
_chemical_formula_sum 'Th1 Ga1 W1'
_cell_length_a 4.6256
_cell_length_b 4.6256
_cell_length_c 4.6256
_cell_angle_alpha 60.00
_cell_angle_beta 60.00
_cell_angle_gamma 60.00
_symmetry_space_group_name_H-M 'P 1'
_symmetry_Int_Tables_number 1
_symmetry_space_group_name_Hall 'P 1'
loop_
_atom_site_label
_atom_site_fract_x
_atom_site_fract_y
_atom_site_fract_z
Ga1 0.7500 0.7500 0.7500
Th1 0.2500 0.2500 0.2500
W1 0.0000 0.0000 0.0000
```

---

No. 5
Compound: CdFeSnTe3
Source: OQMD via LeMat-Bulk
Functional: GGA-PBE
Structure: optimized geometry

- ΔE to the lowest computed polymorph (meV per atom) = 99

CIF file:
```
data_CdFeSnTe3
_chemical_formula_sum 'Cd2 Fe2 Sn2 Te6'
_cell_length_a 4.1417
_cell_length_b 7.5095
_cell_length_c 11.1027
_cell_angle_alpha 90.00
_cell_angle_beta 90.00
_cell_angle_gamma 73.99
_symmetry_space_group_name_H-M 'P 1'
_symmetry_Int_Tables_number 1
_symmetry_space_group_name_Hall 'P 1'
loop_
_atom_site_label
_atom_site_fract_x
_atom_site_fract_y
_atom_site_fract_z
Cd1 0.5209 0.9582 0.2500
Cd2 0.4791 0.0418 0.7500
Fe1 0.0000 0.0000 0.0000
Fe2 0.0000 0.0000 0.5000
Sn1 0.2201 0.5597 0.2500
Sn2 0.7799 0.4403 0.7500
Te1 0.6324 0.7351 0.0443
Te2 0.8899 0.2201 0.2500
Te3 0.6324 0.7351 0.4557
Te4 0.3676 0.2649 0.5443
Te5 0.1101 0.7799 0.7500
Te6 0.3676 0.2649 0.9557
```

---

No. 6
Compound: ZnCdFePt
Source: OQMD via LeMat-Bulk
Functional: GGA-PBE
Structure: optimized geometry

- ΔE to the lowest computed polymorph (meV per atom) = 0

CIF file:
```
data_ZnCdFePt
_chemical_formula_sum 'Zn1 Cd1 Fe1 Pt1'
_cell_length_a 4.4609
_cell_length_b 4.4609
_cell_length_c 4.4609
_cell_angle_alpha 60.00
_cell_angle_beta 60.00
_cell_angle_gamma 60.00
_symmetry_space_group_name_H-M 'P 1'
_symmetry_Int_Tables_number 1
_symmetry_space_group_name_Hall 'P 1'
loop_
_atom_site_label
_atom_site_fract_x
_atom_site_fract_y
_atom_site_fract_z
Cd1 0.2500 0.2500 0.2500
Fe1 0.7500 0.7500 0.7500
Pt1 0.5000 0.5000 0.5000
Zn1 0.0000 0.0000 0.0000
```